A geometry-optimized YHoCdPd structure. Source: Alexandria, functional PBE.

Results
* energy relative to the lowest polymorph listed for this composition: 0.0000 eV/atom
* formation energy from the elements: -59.08 kJ per mole of atoms

Cell lengths 3.5946, 3.5946, 7.3586 Å; angles 90.00, 90.00, 90.00 degrees
Closest atoms and distances in Å follow each position.
Element x y z (fractional)
Ho 0.0000 0.0000 0.3812  4 Pd 3.01, 4 Cd 3.23, 1 Y 3.34
Pd 0.5000 0.5000 0.6005  4 Ho 3.01, 4 Y 3.08
Cd 0.5000 0.5000 0.1105  4 Ho 3.23, 4 Y 3.25, 4 Cd 3.59, 1 Pd 3.61
Y 0.0000 0.0000 0.8358  4 Pd 3.08, 4 Cd 3.25, 1 Ho 3.34

A geometry-optimized Zr4TiNi structure. Source: Alexandria, functional PBE.

Results
* formation energy from the elements: -5.90 kJ per mole of atoms

Cell lengths 5.5645, 6.6164, 6.6164 Å; angles 90.00, 90.00, 90.00 degrees
Closest atoms and distances in Å follow each position.
Element x y z (fractional)
Ni 0.2500 0.5000 0.5000  8 Zr 2.73, 2 Ni 2.78
Ni 0.7500 0.5000 0.5000  8 Zr 2.73, 2 Ni 2.78
Zr 0.0000 0.8219 0.3511  2 Ni 2.73, 2 Ti 2.95
Zr 0.5000 0.8219 0.6489  2 Ni 2.73, 2 Ti 2.95
Zr 0.0000 0.6489 0.8219  2 Ni 2.73, 2 Ti 2.95
Zr 0.5000 0.3511 0.8219  2 Ni 2.73, 2 Ti 2.95
Zr 0.0000 0.1781 0.6489  2 Ni 2.73, 2 Ti 2.95
Zr 0.0000 0.3511 0.1781  2 Ni 2.73, 2 Ti 2.95
Zr 0.5000 0.1781 0.3511  2 Ni 2.73, 2 Ti 2.95
Zr 0.5000 0.6489 0.1781  2 Ni 2.73, 2 Ti 2.95
Ti 0.7500 0.0000 0.0000  2 Ti 2.78, 8 Zr 2.95
Ti 0.2500 0.0000 0.0000  2 Ti 2.78, 8 Zr 2.95

A geometry-optimized TbTl3Bi2S6 structure. Source: Alexandria, functional PBE.

Results
* formation energy without anion corrections: -9.31 eV/f.u.

Cell lengths 7.1388, 7.1388, 7.8303 Å; angles 98.74, 98.74, 120.00 degrees
Closest atoms and distances in Å follow each position.
Element x y z (fractional)
S 0.3946 0.0685 0.2054  1 Tb 2.79, 2 Bi 2.85
S 0.9315 0.6054 0.7946  1 Tb 2.79, 2 Bi 2.85
S 0.0685 0.3946 0.2054  1 Tb 2.79, 2 Bi 2.85
S 0.6054 0.9315 0.7946  1 Tb 2.79, 2 Bi 2.85
S 0.2577 0.2577 0.7946  1 Tb 2.79, 2 Bi 2.85
S 0.7423 0.7423 0.2054  1 Tb 2.79, 2 Bi 2.85
Tl 0.8328 0.1672 0.5000  6 S 3.22-3.27
Tl 0.5000 0.5000 0.5000  6 S 3.22-3.28
Tl 0.1672 0.8328 0.5000  6 S 3.22-3.27
Bi 0.3335 0.6665 0.0000  6 S 2.85
Bi 0.6665 0.3335 0.0000  6 S 2.85
Tb 0.0000 0.0000 0.0000  6 S 2.79

Per-record energy, eV/atom: -4.900, -8.039, -4.463